The following is a GGA-PBE calculation of Mn5Nb6Os after structural relaxation, from the Alexandria database.

Structure (POSCAR):
```
Mn5Nb6Os
1.0
4.211 0.018 -1.229
-0.849 5.435 -2.830
-0.080 0.403 7.560
Mn Nb Os
5 6 1
Direct
0.667 0.667 0.334
0.666 0.166 0.333
0.334 0.834 0.667
0.333 0.333 0.666
0.000 0.500 0.000
0.830 0.577 0.661
0.831 0.084 0.661
0.169 0.916 0.339
0.500 0.743 0.000
0.500 0.257 0.000
0.170 0.423 0.339
0.000 0.000 0.000
```

Values from the calculation:
- Energy: -9.926 eV per atom
- M_tot: 0.00 μB per atom